{"formula": "TbCoF6", "functional": "PBE+U", "state": "relaxed", "dos_at_fermi_per_ev_cell": 6.6, "magnetic_moment_mub_per_cell": 4.00, "e_tot_ev_per_atom": -5.55, "cell": [[-1.6019, -2.7425, 3.7828], [-4.9004, 0.4219, -1.7693], [3.0211, -3.9581, -1.5902]], "species": ["Tb", "Co", "F", "F", "F", "F", "F", "F"], "fractional_positions": [[0.5000, 0.0000, 0.0000], [0.0000, 0.6667, 0.3333], [0.7681, 0.9560, 0.6404], [0.2319, 0.9560, 0.3156], [0.2319, 0.6844, 0.6404], [0.7681, 0.6844, 0.0440], [0.7681, 0.3596, 0.3156], [0.2319, 0.3596, 0.0440]]}